No. 1
VASP calculation (PBE) on crystalline PmHg3Pd3 at its relaxed geometry.

Computed properties:
Distance to the lowest polymorph of the same formula: 0.0 meV per atom
Formation energy from the elements: -0.38 eV/atom

Cell: 7.8557 7.8557 7.8557 Å, 53.92 53.92 53.92°
Sites, in units of the cell vectors:
Pm (0.1592, 0.1592, 0.1592)
Pm (0.8408, 0.8408, 0.8408)
Hg (0.0565, 0.5847, 0.2313)
Hg (0.2313, 0.0565, 0.5847)
Hg (0.4153, 0.7687, 0.9435)
Hg (0.5847, 0.2313, 0.0565)
Hg (0.7687, 0.9435, 0.4153)
Hg (0.9435, 0.4153, 0.7687)
Pd (0.2146, 0.6805, 0.4338)
Pd (0.3195, 0.5662, 0.7854)
Pd (0.4338, 0.2146, 0.6805)
Pd (0.5662, 0.7854, 0.3195)
Pd (0.6805, 0.4338, 0.2146)
Pd (0.7854, 0.3195, 0.5662)

***

No. 2
VASP calculation (PBE) on crystalline PmHg2Pd8 at its relaxed geometry.

Computed properties:
Distance to the lowest polymorph of the same formula: 105.2 meV per atom
Formation energy from the elements: -0.25 eV/atom

Cell: 7.3253 7.3253 5.5071 Å, 103.89 103.89 44.62°
Sites, in units of the cell vectors:
Pm (0.0000, 0.0000, 0.0000)
Hg (0.2198, 0.2198, 0.4295)
Hg (0.7802, 0.7802, 0.5705)
Pd (0.1644, 0.6493, 0.3300)
Pd (0.2527, 0.2527, 0.9697)
Pd (0.3507, 0.8356, 0.6700)
Pd (0.4217, 0.4217, 0.7917)
Pd (0.5783, 0.5783, 0.2083)
Pd (0.6493, 0.1644, 0.3300)
Pd (0.7473, 0.7473, 0.0303)
Pd (0.8356, 0.3507, 0.6700)

***

No. 3
VASP calculation (PBE) on crystalline Pm2HgPd9 at its relaxed geometry.

Computed properties:
Distance to the lowest polymorph of the same formula: 105.9 meV per atom
Formation energy from the elements: -0.45 eV/atom

Cell: 9.4832 9.4832 9.4832 Å, 33.10 33.10 33.10°
Sites, in units of the cell vectors:
Pm (0.1343, 0.1343, 0.1343)
Pm (0.8657, 0.8657, 0.8657)
Hg (0.0000, 0.0000, 0.0000)
Pd (0.0817, 0.5868, 0.5868)
Pd (0.3332, 0.3332, 0.3332)
Pd (0.4132, 0.4132, 0.9183)
Pd (0.4132, 0.9183, 0.4132)
Pd (0.5000, 0.5000, 0.5000)
Pd (0.5868, 0.0817, 0.5868)
Pd (0.5868, 0.5868, 0.0817)
Pd (0.6668, 0.6668, 0.6668)
Pd (0.9183, 0.4132, 0.4132)

***

No. 4
VASP calculation (PBE) on crystalline Pm2HgPd4 at its relaxed geometry.

Computed properties:
Distance to the lowest polymorph of the same formula: 0.0 meV per atom
Formation energy from the elements: -0.68 eV/atom

Cell: 9.6031 9.6031 9.6031 Å, 155.05 155.05 35.57°
Sites, in units of the cell vectors:
Pm (0.1276, 0.1276, 0.0000)
Pm (0.8724, 0.8724, 0.0000)
Hg (0.5000, 0.5000, 0.0000)
Pd (0.2500, 0.7500, 0.5000)
Pd (0.3530, 0.3530, 0.0000)
Pd (0.6470, 0.6470, 0.0000)
Pd (0.7500, 0.2500, 0.5000)

***

No. 5
VASP calculation (PBE) on crystalline PmHg2Pd at its relaxed geometry.

Computed properties:
Distance to the lowest polymorph of the same formula: 0.0 meV per atom
Formation energy from the elements: -0.53 eV/atom

Cell: 5.5243 5.5243 8.6216 Å, 90.00 90.00 135.94°
Sites, in units of the cell vectors:
Pm (0.0673, 0.9327, 0.7500)
Pm (0.9327, 0.0673, 0.2500)
Hg (0.3607, 0.6393, 0.5463)
Hg (0.3607, 0.6393, 0.9537)
Hg (0.6393, 0.3607, 0.0463)
Hg (0.6393, 0.3607, 0.4537)
Pd (0.2243, 0.7757, 0.2500)
Pd (0.7757, 0.2243, 0.7500)

***

No. 6
VASP calculation (PBE) on crystalline Pm2HgPd4 at its relaxed geometry.

Computed properties:
Distance to the lowest polymorph of the same formula: 609.1 meV per atom
Formation energy from the elements: -0.07 eV/atom

Cell: 8.0142 8.0142 8.0142 Å, 143.45 143.45 52.65°
Sites, in units of the cell vectors:
Pm (0.1286, 0.1286, 0.0000)
Pm (0.8714, 0.8714, 0.0000)
Hg (0.5000, 0.5000, 0.0000)
Pd (0.0000, 0.5000, 0.5000)
Pd (0.3120, 0.3120, 0.0000)
Pd (0.5000, 0.0000, 0.5000)
Pd (0.6880, 0.6880, 0.0000)

***

No. 7
VASP calculation (PBE) on crystalline Pm3Hg2Pd3 at its relaxed geometry.

Computed properties:
Distance to the lowest polymorph of the same formula: 0.0 meV per atom
Formation energy from the elements: -0.62 eV/atom

Cell: 10.3952 10.3952 10.3952 Å, 159.33 151.95 35.10°
Sites, in units of the cell vectors:
Pm (0.0000, 0.0000, 0.0000)
Pm (0.3701, 0.8701, 0.5000)
Pm (0.6299, 0.1299, 0.5000)
Hg (0.2337, 0.2337, 0.0000)
Hg (0.7663, 0.7663, 0.0000)
Pd (0.1171, 0.6171, 0.5000)
Pd (0.5000, 0.5000, 0.0000)
Pd (0.8829, 0.3829, 0.5000)

***

No. 8
VASP calculation (PBE) on crystalline PmHg4Pd at its relaxed geometry.

Computed properties:
Distance to the lowest polymorph of the same formula: 66.4 meV per atom
Formation energy from the elements: -0.25 eV/atom

Cell: 4.5128 8.5484 7.5200 Å, 90.00 107.37 90.00°
Sites, in units of the cell vectors:
Pm (0.1725, 0.2500, 0.3458)
Pm (0.8275, 0.7500, 0.6542)
Hg (0.1522, 0.7500, 0.3024)
Hg (0.3504, 0.0112, 0.7021)
Hg (0.3504, 0.4888, 0.7021)
Hg (0.4900, 0.7500, 0.9805)
Hg (0.5100, 0.2500, 0.0195)
Hg (0.6496, 0.5112, 0.2979)
Hg (0.6496, 0.9888, 0.2979)
Hg (0.8478, 0.2500, 0.6976)
Pd (0.0000, 0.0000, 0.0000)
Pd (0.0000, 0.5000, 0.0000)

***

- Which formula does entry 4 have?
  Pm2HgPd4